No. 1
This record from Alexandria describes crystalline Pr2MgAl3Zn4 at its relaxed geometry. The functional is GGA-PBE.

a b c (Å): 4.3371 4.3371 10.8572
angles (deg): 90.00 90.00 90.00
Last column: nearest neighbours and their distance in Å.
Fractional positions:
Zn: 0.5000 0.5000 0.0000  4 Al 2.58
Zn: 0.0000 0.0000 0.0000  4 Al 2.58
Mg: 0.5000 0.5000 0.5000  4 Zn 2.66
Zn: 0.5000 0.0000 0.6419  3 Al 2.48-2.66, 2 Mg 2.66
Pr: 0.0000 0.5000 0.7617  6 Al 3.29-3.57, 8 Zn 3.33-3.38, 2 Mg 3.57
Al: 0.0000 0.0000 0.5000  4 Zn 2.66
Al: 0.0000 0.5000 0.1295  5 Zn 2.48-2.58
Al: 0.5000 0.0000 0.8705  5 Zn 2.48-2.58
Zn: 0.0000 0.5000 0.3581  3 Al 2.48-2.66, 2 Mg 2.66
Pr: 0.5000 0.0000 0.2383  6 Al 3.29-3.57, 8 Zn 3.33-3.38, 2 Mg 3.57

Values from the calculation:
Formation enthalpy at 0 K, eV per atom: -0.37
Magnetic moment, μB per cell: 0.00


No. 2
This record from Alexandria describes crystalline Pr4MgAlZn2 at its relaxed geometry. The functional is GGA-PBE.

a b c (Å): 5.3291 5.3291 9.2641
angles (deg): 73.28 73.28 60.00
Last column: nearest neighbours and their distance in Å.
Fractional positions:
Pr: 0.6216 0.6216 0.1353  1 Al 3.19, 4 Zn 3.20-3.23, 3 Mg 3.30
Pr: 0.3784 0.3784 0.8647  1 Al 3.19, 4 Zn 3.20-3.23, 3 Mg 3.30
Pr: 0.1281 0.1281 0.6157  3 Al 3.24, 4 Zn 3.33-3.34, 1 Mg 3.36
Zn: 0.2551 0.2551 0.2346  8 Pr 3.20-3.34
Pr: 0.8719 0.8719 0.3843  3 Al 3.24, 4 Zn 3.33-3.34, 1 Mg 3.36
Al: 0.5000 0.5000 0.5000  8 Pr 3.19-3.24
Mg: 0.0000 0.0000 0.0000  8 Pr 3.30-3.36
Zn: 0.7449 0.7449 0.7654  8 Pr 3.20-3.34

Values from the calculation:
Formation enthalpy at 0 K, eV per atom: -0.25
Magnetic moment, μB per cell: 0.00


No. 3
This record from Alexandria describes crystalline PrMg2AlZn2 at its relaxed geometry. The functional is GGA-PBE.

a b c (Å): 5.0801 5.0801 6.6447
angles (deg): 112.47 112.47 90.00
Last column: nearest neighbours and their distance in Å.
Fractional positions:
Mg: 0.7500 0.2500 0.5000  4 Zn 2.57
Pr: 0.5000 0.5000 0.0000  2 Zn 3.19
Al: 0.0000 0.0000 0.0000  2 Zn 2.40
Zn: 0.2148 0.2148 0.4296  1 Al 2.40, 4 Mg 2.57
Mg: 0.2500 0.7500 0.5000  4 Zn 2.57
Zn: 0.7852 0.7852 0.5704  1 Al 2.40, 4 Mg 2.57

Values from the calculation:
Formation enthalpy at 0 K, eV per atom: 0.07
Magnetic moment, μB per cell: 0.00